[1]
AcLa2Ga | PBE-GGA | relaxed

abc: 3.795 3.795 9.348
angles: 90.00 90.00 90.00
Positions (direct):
Ac: 0.500 0.500 0.500
La: 0.000 0.000 0.197
La: 0.000 0.000 0.803
Ga: 0.500 0.500 0.000

Computed properties:
Size of the total moment: 0.000 μB per formula unit
Energy of formation from the pure elements: -5.98 kcal/mol of atoms
Energy above the most stable polymorph in this dataset: 0 meV/atom

---

[2]
AcLaGa4 | PBE-GGA | relaxed

abc: 4.446 4.446 8.254
angles: 105.63 105.63 90.00
Positions (direct):
Ga: 0.835 0.335 0.670
Ga: 0.665 0.165 0.330
Ga: 0.418 0.418 0.837
Ga: 0.582 0.582 0.163
Ac: 0.250 0.750 0.500
La: 0.000 0.000 0.000

Computed properties:
Size of the total moment: 0.000 μB per formula unit
Energy of formation from the pure elements: -15.03 kcal/mol of atoms
Energy above the most stable polymorph in this dataset: 0 meV/atom

---

[3]
Ac2LaGa6 | PBE-GGA | relaxed

abc: 4.640 7.566 7.566
angles: 120.00 90.00 90.00
Positions (direct):
Ga: 0.500 0.331 0.000
Ga: 0.500 0.000 0.331
Ga: 0.500 0.669 0.669
Ga: 0.500 0.331 0.331
Ga: 0.500 0.000 0.669
Ga: 0.500 0.669 0.000
Ac: 0.000 0.333 0.667
Ac: 0.000 0.667 0.333
La: 0.000 0.000 0.000

Computed properties:
Size of the total moment: 0.000 μB per formula unit
Energy of formation from the pure elements: -15.11 kcal/mol of atoms
Energy above the most stable polymorph in this dataset: 0 meV/atom

---

[4]
AcLaGa | PBE-GGA | relaxed

abc: 5.312 5.312 5.312
angles: 60.00 60.00 60.00
Positions (direct):
Ac: 0.500 0.500 0.500
La: 0.000 0.000 0.000
Ga: 0.250 0.250 0.250

Computed properties:
Size of the total moment: 0.001 μB per formula unit
Energy of formation from the pure elements: -5.65 kcal/mol of atoms
Energy above the most stable polymorph in this dataset: 148 meV/atom

---

[5]
AcLa14Ga | PBE-GGA | relaxed

abc: 7.383 7.383 10.318
angles: 90.00 90.00 89.99
Positions (direct):
La: 0.106 0.894 0.242
La: 0.106 0.356 0.760
La: 0.873 0.623 0.500
La: 0.644 0.356 0.762
La: 0.644 0.356 0.238
La: 0.876 0.124 0.500
La: 0.106 0.894 0.758
La: 0.644 0.894 0.760
La: 0.370 0.121 0.000
La: 0.879 0.630 0.000
La: 0.106 0.356 0.240
La: 0.644 0.894 0.240
La: 0.377 0.127 0.500
La: 0.375 0.625 0.500
Ga: 0.876 0.124 0.000
Ac: 0.375 0.625 0.000

Computed properties:
Size of the total moment: 0.000 μB per formula unit
Energy of formation from the pure elements: -0.99 kcal/mol of atoms

---

[6]
AcLa3Ga2 | PBE-GGA | relaxed

abc: 5.314 7.042 9.939
angles: 90.00 90.00 90.00
Positions (direct):
Ga: 0.000 0.271 0.655
Ga: 0.000 0.771 0.345
Ga: 0.500 0.225 0.150
Ga: 0.500 0.725 0.850
La: 0.000 0.495 0.940
La: 0.000 0.995 0.060
La: 0.000 0.812 0.672
La: 0.000 0.312 0.328
La: 0.500 0.690 0.164
La: 0.500 0.190 0.836
Ac: 0.500 0.007 0.442
Ac: 0.500 0.507 0.558

Computed properties:
Size of the total moment: 0.000 μB per formula unit
Energy of formation from the pure elements: -8.67 kcal/mol of atoms
Energy above the most stable polymorph in this dataset: 0 meV/atom

---

[7]
AcLaGa4 | PBE-GGA | relaxed

abc: 5.795 5.795 5.795
angles: 60.00 60.00 60.00
Positions (direct):
Ga: 0.625 0.625 0.625
Ga: 0.625 0.625 0.124
Ga: 0.625 0.124 0.625
Ga: 0.124 0.625 0.625
Ac: 0.250 0.250 0.250
La: 0.000 0.000 0.000

Computed properties:
Size of the total moment: 0.000 μB per formula unit
Energy of formation from the pure elements: -12.02 kcal/mol of atoms
Energy above the most stable polymorph in this dataset: 131 meV/atom

---

[8]
AcLa4Ga5 | PBE-GGA | relaxed

abc: 3.799 3.799 19.055
angles: 90.00 90.00 90.00
Positions (direct):
Ga: 0.500 0.500 0.500
Ga: 0.500 0.500 0.892
Ga: 0.500 0.500 0.108
Ga: 0.500 0.500 0.304
Ga: 0.500 0.500 0.696
La: 0.000 0.000 0.204
La: 0.000 0.000 0.598
La: 0.000 0.000 0.402
La: 0.000 0.000 0.796
Ac: 0.000 0.000 0.000

Computed properties:
Size of the total moment: 0.000 μB per formula unit
Energy of formation from the pure elements: -12.45 kcal/mol of atoms

---

Number 1: mass density 7.09 g/cm³, uncorrected energy -18.0 eV/f.u.. Number 2: mass density 7.10 g/cm³, uncorrected energy -25.1 eV/f.u.. Number 3: mass density 7.30 g/cm³, uncorrected energy -37.2 eV/f.u.. Number 4: mass density 6.82 g/cm³, uncorrected energy -12.8 eV/f.u.. Number 5: mass density 6.62 g/cm³, uncorrected energy -76.8 eV/f.u.. Number 6: mass density 6.99 g/cm³, uncorrected energy -27.2 eV/f.u.. Number 7: mass density 7.78 g/cm³, uncorrected energy -24.3 eV/f.u.. Number 8: mass density 6.83 g/cm³, uncorrected energy -44.4 eV/f.u..